Density functional theory data (PBE) for crystalline Cu3Ag2 at its relaxed geometry.

Cell lengths 9.870, 9.870, 3.866 Å; angles 90.00, 90.00, 157.67 degrees
Fractional positions:
1 Cu 0.000 0.000 0.500
2 Cu 0.406 0.594 0.500
3 Ag 0.198 0.802 0.500
4 Cu 0.500 0.500 0.000
5 Cu 0.594 0.406 0.500
6 Cu 0.301 0.699 0.000
7 Ag 0.095 0.905 0.000
8 Cu 0.699 0.301 0.000
9 Ag 0.905 0.095 0.000
10 Ag 0.802 0.198 0.500

The formation energy is 96 meV/atom. The relative energy among the computed polymorphs is 53.9 meV/atom.

---

Density functional theory data (PBE) for crystalline Cu2Ag7 at its relaxed geometry.

Cell lengths 6.353, 6.353, 8.684 Å; angles 103.55, 103.55, 25.98 degrees
Fractional positions:
1 Ag 0.667 0.667 0.385
2 Ag 0.671 0.671 0.737
3 Ag 0.333 0.333 0.615
4 Cu 0.329 0.329 0.949
5 Ag 0.000 0.000 0.500
6 Ag 0.329 0.329 0.263
7 Ag 0.999 0.999 0.842
8 Ag 0.001 0.001 0.158
9 Cu 0.671 0.671 0.051

The formation energy is 61 meV/atom. The relative energy among the computed polymorphs is 35.1 meV/atom.

---

Density functional theory data (PBE) for crystalline Cu3Ag5 at its relaxed geometry.

Cell lengths 3.897, 4.033, 7.989 Å; angles 90.00, 90.00, 90.00 degrees
Fractional positions:
1 Ag 0.500 0.000 0.500
2 Cu 0.000 0.000 0.759
3 Cu 0.000 0.000 0.241
4 Ag 0.000 0.500 0.500
5 Ag 0.500 0.500 0.759
6 Ag 0.500 0.000 0.000
7 Ag 0.500 0.500 0.241
8 Cu 0.000 0.500 0.000

The formation energy is 90 meV/atom. The relative energy among the computed polymorphs is 53.4 meV/atom.

---

Density functional theory data (PBE) for crystalline CuAg at its relaxed geometry.

Cell lengths 4.754, 4.806, 7.294 Å; angles 71.55, 71.54, 80.27 degrees
Fractional positions:
1 Cu 0.500 0.904 0.699
2 Ag 0.010 0.385 0.200
3 Cu 0.514 0.094 0.298
4 Cu 0.993 0.004 0.003
5 Ag 0.996 0.595 0.803
6 Cu 0.503 0.292 0.902
7 Cu 0.989 0.809 0.395
8 Ag 0.501 0.511 0.501
9 Ag 0.489 0.720 0.095
10 Ag 0.005 0.185 0.604

The formation energy is 102 meV/atom.

---

Density functional theory data (PBE) for crystalline Cu3Ag7 at its relaxed geometry.

Cell lengths 6.977, 2.878, 8.344 Å; angles 90.00, 103.71, 90.00 degrees
Fractional positions:
1 Cu 0.618 0.000 0.801
2 Cu 0.995 0.000 0.980
3 Ag 0.183 0.000 0.604
4 Ag 0.096 0.500 0.283
5 Ag 0.300 0.500 0.900
6 Ag 0.800 0.000 0.410
7 Cu 0.890 0.500 0.718
8 Ag 0.501 0.500 0.521
9 Ag 0.408 0.000 0.202
10 Ag 0.710 0.500 0.082

The formation energy is 69 meV/atom. The relative energy among the computed polymorphs is 39.9 meV/atom.

---

Density functional theory data (PBE) for crystalline Cu3Ag2 at its relaxed geometry.

Cell lengths 7.295, 7.295, 5.542 Å; angles 101.08, 101.08, 29.70 degrees
Fractional positions:
1 Cu 0.809 0.809 0.418
2 Ag 0.199 0.199 0.092
3 Cu 0.807 0.807 0.891
4 Ag 0.594 0.594 0.300
5 Cu 0.997 0.997 0.519
6 Ag 0.205 0.205 0.607
7 Ag 0.399 0.399 0.199
8 Cu 0.996 0.996 0.977
9 Cu 0.590 0.590 0.794
10 Cu 0.404 0.404 0.702

The formation energy is 91 meV/atom. The relative energy among the computed polymorphs is 49.1 meV/atom.